A geometry-optimized Sn3PdBr structure. Source: Alexandria, functional PBE.

Summary:
Energy relative to the elements, uncorrected in eV/atom: 0.8228
Excess energy over the best structure of this formula in the dataset in meV/atom: 878

abc: 5.4849 5.4849 5.4849
angles: 90.00 90.00 90.00
Closest atoms and distances in Å follow each position.
Sites, in units of the cell vectors:
Sn: 0.5000 0.0000 0.0000  2 Br 2.74
Br: 0.0000 0.0000 0.0000  6 Sn 2.74
Sn: 0.0000 0.0000 0.5000  2 Br 2.74
Pd: 0.5000 0.5000 0.5000  12 Sn 3.88
Sn: 0.0000 0.5000 0.0000  2 Br 2.74

=====

A geometry-optimized Sn3PdBr structure. Source: Alexandria, functional PBE.

Summary:
Energy relative to the elements, uncorrected in eV/atom: -0.0555
Excess energy over the best structure of this formula in the dataset in meV/atom: 0

abc: 5.2887 5.2887 5.2887
angles: 90.00 90.00 90.00
Closest atoms and distances in Å follow each position.
Sites, in units of the cell vectors:
Sn: 0.5000 0.0000 0.0000  2 Pd 2.64
Sn: 0.0000 0.0000 0.5000  2 Pd 2.64
Br: 0.5000 0.5000 0.5000  12 Sn 3.74
Sn: 0.0000 0.5000 0.0000  2 Pd 2.64
Pd: 0.0000 0.0000 0.0000  6 Sn 2.64

=====

A geometry-optimized SnPd3Br structure. Source: Alexandria, functional PBE.

Summary:
Energy relative to the elements, uncorrected in eV/atom: 0.3924
Excess energy over the best structure of this formula in the dataset in meV/atom: 0

abc: 4.8284 4.8284 4.8284
angles: 90.00 90.00 90.00
Closest atoms and distances in Å follow each position.
Sites, in units of the cell vectors:
Br: 0.0000 0.0000 0.0000  6 Pd 2.41
Pd: 0.0000 0.5000 0.0000  2 Br 2.41
Sn: 0.5000 0.5000 0.5000  12 Pd 3.41
Pd: 0.0000 0.0000 0.5000  2 Br 2.41
Pd: 0.5000 0.0000 0.0000  2 Br 2.41

=====

Question: Which of these has the highest energy relative to the elements, uncorrected?
Answer: number 1